A geometry-optimized Tl5BrCl4 structure, computed with GGA-PBEsol.

Values from the calculation:
E_form (uncorrected)	-0.8822	eV/atom
DFT total energy	-3.187	eV per atom

a = 3.785 Å, b = 5.358 Å, c = 13.611 Å
α = 101.35°, β = 90.00°, γ = 90.00°
Fractional coordinates of all 10 atoms:
Cl 0.500 0.101 0.203
Tl 0.000 0.604 0.207
Tl 0.000 0.396 0.793
Br 0.500 0.500 0.000
Tl 0.000 0.000 0.000
Cl 0.500 0.701 0.403
Tl 0.000 0.200 0.400
Cl 0.500 0.299 0.597
Cl 0.500 0.899 0.797
Tl 0.000 0.800 0.600